Entry 1:
Entry from Alexandria via LeMat-Bulk: crystalline BeIn2I at its relaxed geometry (GGA-PBE).

a b c (Å): 6.334 6.334 8.012
angles (deg): 66.72 66.72 90.00
Atoms (fractional coordinates):
I 0.750 0.250 0.500
I 0.000 0.000 0.000
In 0.244 0.625 0.250
In 0.875 0.756 0.750
In 0.375 0.494 0.750
In 0.506 0.125 0.250
Be 0.250 0.750 0.500
Be 0.500 0.500 0.000

Properties
Size of the total moment = 0.0 Bohr magnetons per cell
Space group = No. 122
E = -2.45 eV/atom

***

Entry 2:
Entry from Alexandria via LeMat-Bulk: crystalline CdTeAs2Se at its relaxed geometry (GGA-PBE).

a b c (Å): 5.375 5.375 5.356
angles (deg): 90.00 90.00 90.00
Each line ends with the local moment (μB).
Atoms (fractional coordinates):
As 0.500 0.000 0.000  0.16
As 0.000 0.500 0.000  0.16
Se 0.000 0.000 0.500  0.05
Cd 0.500 0.500 0.500  0.00
Te 0.000 0.000 0.000  -0.01

Properties
Size of the total moment = 0.8 Bohr magnetons per cell
Space group = No. 123
E = -2.59 eV/atom

***

Entry 3:
Entry from Alexandria via LeMat-Bulk: crystalline K2SbAu at its relaxed geometry (GGA-PBE).

a b c (Å): 4.978 5.595 6.272
angles (deg): 63.55 90.00 90.00
Atoms (fractional coordinates):
Sb 0.000 0.665 0.544
K 0.500 0.272 0.332
K 0.000 0.979 0.917
Au 0.500 0.584 0.707

Properties
Size of the total moment = 0.0 Bohr magnetons per cell
Space group = No. 38
E = -2.85 eV/atom

***

Entry 4:
Entry from Alexandria via LeMat-Bulk: crystalline La9Sm11Tm4 at its relaxed geometry (GGA-PBE).

a b c (Å): 3.710 15.947 15.947
angles (deg): 117.77 90.00 90.00
Each line ends with the local moment (μB).
Atoms (fractional coordinates):
Tm 0.500 0.573 0.766  0.00
Tm 0.500 0.766 0.573  0.00
Tm 0.500 0.427 0.234  0.00
Tm 0.500 0.234 0.427  0.00
Sm 0.000 0.377 0.623  0.00
Sm 0.000 0.822 0.178  0.00
Sm 0.000 0.401 0.036  0.00
Sm 0.000 0.036 0.401  0.00
Sm 0.000 0.964 0.599  0.00
Sm 0.000 0.623 0.377  0.00
Sm 0.000 0.178 0.822  0.00
Sm 0.000 0.000 0.000  0.00
Sm 0.000 0.743 0.743  0.00
Sm 0.000 0.599 0.964  0.00
Sm 0.000 0.257 0.257  0.00
La 0.500 0.385 0.829  0.00
La 0.500 0.829 0.385  0.00
La 0.500 0.031 0.205  0.00
La 0.500 0.795 0.969  0.00
La 0.500 0.171 0.615  0.00
La 0.500 0.615 0.171  0.00
La 0.500 0.205 0.031  0.00
La 0.500 0.969 0.795  0.00
La 0.500 0.500 0.500  0.09

Properties
Size of the total moment = 0.3 Bohr magnetons per cell
Space group = No. 65
Energy of formation = 52.9 meV/atom

***

Entry 5:
Entry from Alexandria via LeMat-Bulk: crystalline VIr6Rh5 at its relaxed geometry (GGA-PBE).

a b c (Å): 3.850 7.196 7.196
angles (deg): 106.50 105.53 105.53
Atoms (fractional coordinates):
Rh 0.500 0.500 0.500
Rh 0.500 0.838 0.162
Rh 0.000 0.336 0.664
Rh 0.500 0.162 0.838
Rh 0.000 0.664 0.336
Ir 0.256 0.755 0.755
Ir 0.753 0.919 0.588
Ir 0.247 0.081 0.412
Ir 0.247 0.412 0.081
Ir 0.753 0.588 0.919
Ir 0.744 0.245 0.245
V 0.000 0.000 0.000

Properties
Size of the total moment = 0.0 Bohr magnetons per cell
Space group = No. 71
Energy of formation = -146.1 meV/atom

***

Entry 6:
Entry from Alexandria via LeMat-Bulk: crystalline Ta3BW at its relaxed geometry (GGA-PBE).

a b c (Å): 4.842 4.842 4.842
angles (deg): 90.00 90.00 90.00
Atoms (fractional coordinates):
Ta 0.500 0.000 0.000
Ta 0.000 0.500 0.000
Ta 0.000 0.000 0.500
B 0.500 0.500 0.500
W 0.000 0.000 0.000

Properties
Size of the total moment = 0.0 Bohr magnetons per cell
Space group = No. 221
Energy of formation = 2392.0 meV/atom

***

Entry 7:
Entry from Alexandria via LeMat-Bulk: crystalline Cd2NiHgN at its relaxed geometry (GGA-PBE).

a b c (Å): 5.565 3.879 5.565
angles (deg): 90.00 90.00 90.00
Each line ends with the local moment (μB).
Atoms (fractional coordinates):
Hg 0.000 0.000 0.000  -0.02
Cd 0.500 0.000 0.000  -0.01
Cd 0.000 0.000 0.500  0.00
N 0.000 0.500 0.000  -0.33
Ni 0.500 0.500 0.500  0.53

Properties
Size of the total moment = 0.1 Bohr magnetons per cell
Space group = No. 123
E = -1.78 eV/atom

***

Entry 8:
Entry from Alexandria via LeMat-Bulk: crystalline Na3Cd2In7 at its relaxed geometry (GGA-PBE).

a b c (Å): 6.332 6.332 10.410
angles (deg): 72.29 72.29 60.00
Atoms (fractional coordinates):
Na 0.860 0.860 0.421
Na 0.140 0.140 0.579
Na 0.000 0.000 0.000
In 0.411 0.926 0.253
In 0.589 0.589 0.747
In 0.411 0.411 0.253
In 0.926 0.411 0.253
In 0.500 0.500 0.500
In 0.074 0.589 0.747
In 0.589 0.074 0.747
Cd 0.664 0.664 0.009
Cd 0.336 0.336 0.991

Properties
Size of the total moment = 0.0 Bohr magnetons per cell
Space group = No. 166
Energy of formation = -63.4 meV/atom

***

Question: size of the total moment of number 2 (CdTeAs2Se)?
Answer: 0.8 Bohr magnetons per cell

***

Question: Which value of size of the total moment does entry 4 give?
Answer: 0.3 Bohr magnetons per cell